4
Lattice="2.040 1.178 8.308 -2.040 1.178 8.308 0.000 -2.356 8.308" Properties=species:S:1:pos:R:3 comment="GeSBr2, relaxed, DFT PBE" relative_energy_mev_per_atom=572.1 sg=R-3m raw_formation_energy_ev_per_atom=0.284 energy_ev_per_fu=-10.95 pbc="T T T"
Ge 0.000 0.000 0.000
S 0.000 0.000 12.462
Br 0.000 0.000 10.009
Br 0.000 0.000 14.916